(1)
Below is a relaxed structure of CaSc2B, with properties calculated at the PBE-GGA level.

## Properties
* E_form: 1.00 eV per atom
* symmetry: R-3m

a = 10.6275 Å, b = 10.6275 Å, c = 10.6275 Å
α = 18.54°, β = 18.54°, γ = 18.54°
Closest atoms and distances in Å follow each position.
Positions (direct):
Ca 0.0000 0.0000 0.0000  6 Ca 3.42, 6 Sc 3.51
Sc 0.4258 0.4258 0.4258  1 B 2.32
Sc 0.5742 0.5742 0.5742  1 B 2.32
B 0.5000 0.5000 0.5000  2 Sc 2.32


(2)
Below is a relaxed structure of YTe, with properties calculated at the PBE-GGA level.

## Properties
* uncorrected formation energy: -20.55 kcal/mol of atoms
* symmetry: F-43m

a = 4.8579 Å, b = 4.8579 Å, c = 4.8579 Å
α = 60.00°, β = 60.00°, γ = 60.00°
Closest atoms and distances in Å follow each position.
Positions (direct):
Y 0.0000 0.0000 0.0000  4 Te 2.97
Te 0.7500 0.7500 0.7500  4 Y 2.97


(3)
Below is a relaxed structure of TlRu2, with properties calculated at the PBE-GGA level.

## Properties
* E_form: 0.76 eV per atom
* excess energy over the best structure of this formula in the dataset: 350.0 meV/atom
* symmetry: P-62m

a = 7.7803 Å, b = 7.7803 Å, c = 2.8857 Å
α = 90.00°, β = 90.00°, γ = 120.00°
Closest atoms and distances in Å follow each position.
Positions (direct):
Tl 0.0000 0.0000 0.0000  9 Ru 2.78-2.81, 2 Tl 2.89
Tl 0.3333 0.6667 0.5000  9 Ru 2.69-2.89, 2 Tl 2.89
Tl 0.6667 0.3333 0.5000  9 Ru 2.69-2.89, 2 Tl 2.89
Ru 0.0000 0.3097 0.5000  4 Tl 2.69-2.81, 8 Ru 2.89-2.98
Ru 0.0000 0.6431 0.0000  5 Tl 2.78-2.89, 8 Ru 2.89-2.98
Ru 0.3097 0.0000 0.5000  4 Tl 2.69-2.81, 8 Ru 2.89-2.98
Ru 0.3569 0.3569 0.0000  5 Tl 2.78-2.89, 8 Ru 2.89-2.98
Ru 0.6431 0.0000 0.0000  5 Tl 2.78-2.89, 8 Ru 2.89-2.98
Ru 0.6903 0.6903 0.5000  4 Tl 2.69-2.81, 8 Ru 2.89-2.98


(4)
Below is a relaxed structure of H8PdRh2, with properties calculated at the PBE-GGA level.

## Properties
* symmetry: C2/m

a = 4.9255 Å, b = 4.9255 Å, c = 3.6533 Å
α = 107.12°, β = 107.12°, γ = 71.00°
Closest atoms and distances in Å follow each position.
Positions (direct):
H 0.0724 0.0724 0.3285  1 H 1.65, 2 Rh 1.79
H 0.1699 0.5495 0.1162  1 H 1.79, 2 Rh 1.79-1.85, 1 Pd 1.81
H 0.2897 0.2897 0.5789  1 Rh 1.65, 1 H 1.65, 1 Pd 1.81
H 0.4505 0.8301 0.8838  1 H 1.79, 2 Rh 1.79-1.85, 1 Pd 1.81
H 0.5495 0.1699 0.1162  1 H 1.79, 2 Rh 1.79-1.85, 1 Pd 1.81
H 0.7103 0.7103 0.4211  1 Rh 1.65, 1 H 1.65, 1 Pd 1.81
H 0.8301 0.4505 0.8838  1 H 1.79, 2 Rh 1.79-1.85, 1 Pd 1.81
H 0.9276 0.9276 0.6715  1 H 1.65, 2 Rh 1.79
Pd 0.5000 0.5000 0.5000  6 H 1.81
Rh 0.1667 0.1667 0.8546  5 H 1.65-1.79
Rh 0.8333 0.8333 0.1454  5 H 1.65-1.79


(5)
Below is a relaxed structure of Li6AlTl, with properties calculated at the PBE-GGA level.

## Properties
* E_form: -0.14 eV per atom
* symmetry: Amm2

a = 4.6446 Å, b = 5.6695 Å, c = 5.6695 Å
α = 70.62°, β = 90.00°, γ = 90.00°
Closest atoms and distances in Å follow each position.
Positions (direct):
Li 0.0000 0.0000 0.0000  8 Li 2.73-2.95
Li 0.0000 0.0358 0.5071  4 Li 2.73-2.95, 2 Al 2.82-2.86, 2 Tl 2.90
Li 0.0000 0.5071 0.0358  4 Li 2.73-2.95, 2 Al 2.82-2.86, 2 Tl 2.90
Li 0.5000 0.2757 0.7876  4 Li 2.68-3.00, 2 Tl 2.80-2.87, 2 Al 2.86
Li 0.5000 0.3056 0.3056  8 Li 2.68-3.00
Li 0.5000 0.7876 0.2757  4 Li 2.68-3.00, 2 Tl 2.80-2.87, 2 Al 2.86
Al 0.0000 0.5313 0.5313  10 Li 2.82-3.12
Tl 0.5000 0.7736 0.7736  10 Li 2.80-3.13


(6)
Below is a relaxed structure of Ba2Na4Sr5, with properties calculated at the PBE-GGA level.

## Properties
* E_form: 0.04 eV per atom
* excess energy over the best structure of this formula in the dataset: 0.0 meV/atom
* symmetry: P-1

a = 7.4414 Å, b = 8.5264 Å, c = 9.6159 Å
α = 78.20°, β = 76.50°, γ = 71.50°
Closest atoms and distances in Å follow each position.
Positions (direct):
Ba 0.1252 0.3596 0.3067  2 Na 3.84-4.25, 2 Sr 4.23-4.26
Ba 0.8748 0.6404 0.6933  2 Na 3.84-4.25, 2 Sr 4.23-4.26
Na 0.1331 0.8713 0.2629  2 Na 3.37-3.53, 1 Sr 3.76
Na 0.3012 0.9457 0.5505  3 Na 3.25-3.53
Na 0.6988 0.0543 0.4495  3 Na 3.25-3.53
Na 0.8669 0.1287 0.7371  2 Na 3.37-3.53, 1 Sr 3.76
Sr 0.2791 0.6848 0.9173  2 Na 3.76, 1 Sr 4.13
Sr 0.3159 0.1859 0.8693  3 Na 3.90-4.06, 5 Sr 4.22-4.31
Sr 0.5000 0.5000 0.5000  4 Na 3.70-4.14
Sr 0.6841 0.8141 0.1307  3 Na 3.90-4.06, 5 Sr 4.22-4.31
Sr 0.7209 0.3152 0.0827  2 Na 3.76, 1 Sr 4.13


(7)
Below is a relaxed structure of Nd6Dy2Er, with properties calculated at the PBE-GGA level.

## Properties
* E_form: 0.13 eV per atom
* excess energy over the best structure of this formula in the dataset: 46.2 meV/atom
* symmetry: Cmmm

a = 10.0479 Å, b = 10.0479 Å, c = 3.6652 Å
α = 90.00°, β = 90.00°, γ = 124.00°
Closest atoms and distances in Å follow each position.
Positions (direct):
Nd 0.0101 0.3406 0.0000  6 Nd 3.31-3.67, 2 Dy 3.57
Nd 0.1847 0.1847 0.5000  7 Nd 3.46-3.67, 2 Er 3.49
Nd 0.3406 0.0101 0.0000  6 Nd 3.31-3.67, 2 Dy 3.57
Nd 0.6594 0.9899 0.0000  6 Nd 3.31-3.67, 2 Dy 3.57
Nd 0.8153 0.8153 0.5000  7 Nd 3.46-3.67, 2 Er 3.49
Nd 0.9899 0.6594 0.0000  6 Nd 3.31-3.67, 2 Dy 3.57
Dy 0.3242 0.6758 0.5000  8 Nd 3.57-3.75, 2 Er 3.62, 2 Dy 3.67
Dy 0.6758 0.3242 0.5000  8 Nd 3.57-3.75, 2 Er 3.62, 2 Dy 3.67
Er 0.5000 0.5000 0.0000  4 Nd 3.49, 4 Dy 3.62, 2 Er 3.67


(8)
Below is a relaxed structure of BaTl5Hg4, with properties calculated at the PBE-GGA level.

## Properties
* E_form: -0.15 eV per atom
* excess energy over the best structure of this formula in the dataset: 0.0 meV/atom
* symmetry: C2/m

a = 7.9981 Å, b = 7.9981 Å, c = 7.3866 Å
α = 104.78°, β = 104.78°, γ = 42.61°
Closest atoms and distances in Å follow each position.
Positions (direct):
Ba 0.0000 0.0000 0.0000  6 Hg 3.54-3.63, 4 Tl 3.66-3.69
Tl 0.0000 0.0000 0.5000  2 Hg 3.31, 6 Tl 3.50-3.63, 2 Ba 3.69
Tl 0.2194 0.2194 0.8670  1 Hg 3.08, 3 Tl 3.38-3.39
Tl 0.3942 0.3942 0.2737  3 Hg 3.12-3.35, 3 Tl 3.38-3.39
Tl 0.6058 0.6058 0.7263  3 Hg 3.12-3.35, 3 Tl 3.38-3.39
Tl 0.7806 0.7806 0.1330  1 Hg 3.08, 3 Tl 3.38-3.39
Hg 0.2008 0.2008 0.3891  3 Tl 3.22-3.46, 5 Hg 3.26-3.46, 1 Ba 3.54
Hg 0.3967 0.3967 0.7285  3 Tl 3.08-3.35, 3 Hg 3.26-3.29
Hg 0.6033 0.6033 0.2715  3 Tl 3.08-3.35, 3 Hg 3.26-3.29
Hg 0.7992 0.7992 0.6109  3 Tl 3.22-3.46, 5 Hg 3.26-3.46, 1 Ba 3.54


Number 1: E -17.3 eV per cell. Number 2: E -11.4 eV per cell. Number 3: E -55.9 eV per cell. Number 4: E -46.0 eV per cell. Number 5: E -18.7 eV per cell. Number 6: E -17.1 eV per cell. Number 7: E -41.2 eV per cell. Number 8: E -16.5 eV per cell.